# 1
The following is a DFT calculation (PBE) of a relaxed IrPbSe2 crystal.

Summary:
* DOS at the Fermi energy: 0.741 states/eV per atom
* calculated total energy: -4.765 eV per atom
* V: 22.80 A^3/atom

The structure in CIF format:
```
data_IrPbSe2
_chemical_formula_sum 'Ir2 Pb2 Se4'
_cell_length_a 3.3251
_cell_length_b 4.2842
_cell_length_c 12.8036
_cell_angle_alpha 90.00
_cell_angle_beta 90.00
_cell_angle_gamma 90.00
_space_group_name_H-M_alt 'I m m 2'
_space_group_IT_number 44
loop_
_space_group_symop_operation_xyz
'x,y,z'
'-x,-y,z'
'-x,y,z'
'x,-y,z'
'x+1/2,y+1/2,z+1/2'
'-x+1/2,-y+1/2,z+1/2'
'-x+1/2,y+1/2,z+1/2'
'x+1/2,-y+1/2,z+1/2'
loop_
_atom_site_label
_atom_site_type_symbol
_atom_site_fract_x
_atom_site_fract_y
_atom_site_fract_z
Ir1 Ir 0.0000 0.0000 0.0000
Pb1 Pb 0.0000 0.5000 0.7110
Se1 Se 0.0000 0.0000 0.5411
Se2 Se 0.0000 0.5000 0.3559
```


# 2
The following is a DFT calculation (PBE) of a relaxed Ir2PbSe crystal.

Summary:
* DOS at the Fermi energy: 1.065 states/eV per atom
* distance to the lowest polymorph of the same formula: 557 meV per atom
* V: 17.93 A^3/atom

The structure in CIF format:
```
data_Ir2PbSe
_chemical_formula_sum 'Ir4 Pb2 Se2'
_cell_length_a 6.2704
_cell_length_b 7.2962
_cell_length_c 3.1361
_cell_angle_alpha 90.00
_cell_angle_beta 90.00
_cell_angle_gamma 90.00
_space_group_name_H-M_alt 'C m m m'
_space_group_IT_number 65
_space_group_name_Hall '-C 2 2'
loop_
_atom_site_label
_atom_site_type_symbol
_atom_site_fract_x
_atom_site_fract_y
_atom_site_fract_z
Ir1 Ir 0.2500 0.2500 0.0000
Pb1 Pb 0.0000 0.0000 0.5000
Se1 Se 0.0000 0.5000 0.5000
```


# 3
The following is a DFT calculation (PBE) of a relaxed IrPbSe2 crystal.

Summary:
* DOS at the Fermi energy: 0.510 states/eV per atom
* calculated total energy: -4.632 eV per atom
* V: 21.57 A^3/atom

The structure in CIF format:
```
data_IrPbSe2
_chemical_formula_sum 'Ir1 Pb1 Se2'
_cell_length_a 3.2008
_cell_length_b 3.2008
_cell_length_c 8.4212
_cell_angle_alpha 90.00
_cell_angle_beta 90.00
_cell_angle_gamma 90.00
_space_group_name_H-M_alt 'P 4/m m m'
_space_group_IT_number 123
_space_group_name_Hall '-P 4 2'
loop_
_atom_site_label
_atom_site_type_symbol
_atom_site_fract_x
_atom_site_fract_y
_atom_site_fract_z
Ir1 Ir 0.0000 0.0000 0.0000
Pb1 Pb 0.0000 0.0000 0.5000
Se1 Se 0.5000 0.5000 0.1801
```